The following is a DFT calculation (PBE) of an optimized crystal structure of NaCuN2.

a b c (Å): 5.090 5.090 5.090
angles (deg): 112.77 112.77 103.06
Element x y z (fractional)
Na 0.000 0.000 0.000
Na 0.750 0.250 0.500
Cu 0.250 0.750 0.500
Cu 0.500 0.500 0.000
N 0.217 0.625 0.092
N 0.375 0.467 0.592
N 0.533 0.125 0.908
N 0.875 0.783 0.408

Its energy above the most stable polymorph in this dataset is 0 meV/atom. As for the formation energy (no corrections): 98 kJ/mol of atoms. The volume is 12.57 Å³/atom. As for the total moment: 0.00 μB/atom. As for the crystal system: tetragonal.

The following is a DFT calculation (PBE) of an optimized crystal structure of Sr3In3Sn8.

a b c (Å): 9.389 9.389 9.389
angles (deg): 147.11 101.82 87.45
Element x y z (fractional)
Sr 0.000 0.000 0.000
Sr 0.297 0.297 0.000
Sr 0.703 0.703 0.000
In 0.330 0.500 0.830
In 0.500 0.000 0.500
In 0.670 0.500 0.170
Sn 0.015 0.647 0.368
Sn 0.131 0.857 0.273
Sn 0.278 0.647 0.632
Sn 0.416 0.143 0.273
Sn 0.584 0.857 0.727
Sn 0.722 0.353 0.368
Sn 0.869 0.143 0.727
Sn 0.985 0.353 0.632

The calculation puts the formation energy at -288 meV/atom. The volume is 30.51 Å³/atom. As for the total moment: 0.00 μB/atom. As for the crystal system: orthorhombic.

Look up the total moment of the second one.
0.00 μB/atom

total moment of number 2 (Sr3In3Sn8)?
0.00 μB/atom

Which formula does entry 2 have?
Sr3In3Sn8